Here is a relaxed PuBRu crystal from Alexandria via LeMat-Bulk. Energies are from PBE-GGA.

Summary:
ΔE_f	-57	meV per atom
volume	98	Å³/cell
offset from the most stable computed form	128	meV/atom
space group	C2/m
crystal system	monoclinic

abc: 3.265 5.670 5.997
angles: 112.89 105.79 90.00
Site moments in Bohr magnetons follow the coordinates.
Sites, in units of the cell vectors:
B1 0.616 0.427 0.233  -0.01
B2 0.384 0.573 0.767  -0.01
Ru1 0.186 0.295 0.372  -0.25
Ru2 0.814 0.705 0.628  -0.25
Pu1 0.906 0.221 0.813  5.00
Pu2 0.094 0.779 0.187  5.00

Here is a relaxed KSc2Zn2 crystal from Alexandria via LeMat-Bulk. Energies are from PBE-GGA.

Summary:
ΔE_f	59	meV per atom
volume	233	Å³/cell
offset from the most stable computed form	0	meV/atom
space group	P4/mbm
crystal system	tetragonal

abc: 8.517 8.517 3.207
angles: 90.00 90.00 90.00
Sites, in units of the cell vectors:
Sc1 0.373 0.873 0.000
Sc2 0.873 0.627 0.000
Sc3 0.627 0.127 0.000
Sc4 0.127 0.373 0.000
Zn1 0.164 0.664 0.500
Zn2 0.664 0.836 0.500
Zn3 0.836 0.336 0.500
Zn4 0.336 0.164 0.500
K1 0.000 0.000 0.000
K2 0.500 0.500 0.000

Here is a relaxed NaMn2Cd2 crystal from Alexandria via LeMat-Bulk. Energies are from PBE-GGA.

Summary:
ΔE_f	318	meV per atom
volume	204	Å³/cell
offset from the most stable computed form	22	meV/atom
space group	P4/mbm
crystal system	tetragonal

abc: 8.394 8.394 2.898
angles: 90.00 90.00 90.00
Site moments in Bohr magnetons follow the coordinates.
Sites, in units of the cell vectors:
Na1 0.000 0.000 0.000  -0.02
Na2 0.500 0.500 0.000  -0.02
Mn1 0.118 0.618 0.500  3.67
Mn2 0.618 0.882 0.500  3.71
Mn3 0.882 0.382 0.500  3.67
Mn4 0.382 0.118 0.500  3.71
Cd1 0.323 0.823 0.000  -0.06
Cd2 0.823 0.677 0.000  -0.06
Cd3 0.677 0.177 0.000  -0.06
Cd4 0.177 0.323 0.000  -0.06

Here is a relaxed Pm12Ru6N crystal from Alexandria via LeMat-Bulk. Energies are from PBE-GGA.

Summary:
ΔE_f (raw)	-0.21	eV per atom
volume	514	Å³/cell
space group	R-3
crystal system	trigonal

abc: 8.133 8.133 8.133
angles: 99.23 99.23 99.23
Sites, in units of the cell vectors:
Pm1 0.823 0.581 0.424
Pm2 0.424 0.823 0.581
Pm3 0.581 0.424 0.823
Pm4 0.177 0.419 0.576
Pm5 0.576 0.177 0.419
Pm6 0.419 0.576 0.177
Pm7 0.074 0.955 0.308
Pm8 0.045 0.692 0.926
Pm9 0.692 0.926 0.045
Pm10 0.926 0.045 0.692
Pm11 0.955 0.308 0.074
Pm12 0.308 0.074 0.955
Ru1 0.706 0.868 0.382
Ru2 0.618 0.294 0.132
Ru3 0.132 0.618 0.294
Ru4 0.294 0.132 0.618
Ru5 0.382 0.706 0.868
Ru6 0.868 0.382 0.706
N1 0.000 0.000 0.000

Here is a relaxed Mo2PCl crystal from Alexandria via LeMat-Bulk. Energies are from PBE-GGA.

Summary:
ΔE_f (raw)	-0.04	eV per atom
volume	67	Å³/cell
offset from the most stable computed form	47	meV/atom
space group	Imm2
crystal system	orthorhombic

abc: 6.834 6.834 6.834
angles: 151.78 153.78 38.90
Sites, in units of the cell vectors:
Cl1 0.299 0.799 0.500
Mo1 0.984 0.984 0.000
Mo2 0.674 0.174 0.500
P1 0.543 0.543 0.000

Here is a relaxed LiSm2Er crystal from Alexandria via LeMat-Bulk. Energies are from PBE-GGA.

Summary:
ΔE_f	68	meV per atom
volume	119	Å³/cell
offset from the most stable computed form	0	meV/atom
space group	P4/mmm
crystal system	tetragonal

abc: 3.630 3.630 9.008
angles: 90.00 90.00 90.00
Sites, in units of the cell vectors:
Li1 0.500 0.500 0.000
Sm1 0.000 0.000 0.771
Sm2 0.000 0.000 0.229
Er1 0.500 0.500 0.500

Here is a relaxed LiMoHS2 crystal from Alexandria via LeMat-Bulk. Energies are from PBE-GGA.

Summary:
DFT total energy	-4.54	eV per atom
volume	63	Å³/cell
space group	P4/mmm
crystal system	tetragonal

abc: 4.514 3.094 4.514
angles: 90.00 90.00 90.00
Site moments in Bohr magnetons follow the coordinates.
Sites, in units of the cell vectors:
H1 0.000 0.500 0.000  0.07
Mo1 0.500 0.500 0.500  1.67
S1 0.000 0.000 0.500  -0.04
S2 0.500 0.000 0.000  -0.07
Li1 0.000 0.000 0.000  0.03

Here is a relaxed Nd2HoEr3As6 crystal from Alexandria via LeMat-Bulk. Energies are from PBE-GGA.

Summary:
ΔE_f	-1508	meV per atom
volume	303	Å³/cell
space group	C2/m
crystal system	monoclinic

abc: 4.152 8.297 9.277
angles: 102.88 102.93 90.00
Sites, in units of the cell vectors:
Nd1 0.834 0.668 0.669
Nd2 0.166 0.332 0.331
Ho1 0.500 0.000 0.000
Er1 0.500 0.500 0.000
Er2 0.833 0.166 0.666
Er3 0.167 0.834 0.334
As1 0.334 0.925 0.667
As2 0.664 0.590 0.328
As3 0.666 0.075 0.333
As4 0.997 0.249 0.994
As5 0.003 0.751 0.006
As6 0.336 0.410 0.672

Here is a relaxed Sr2CrReN5 crystal from Alexandria via LeMat-Bulk. Energies are from PBE-GGA.

Summary:
ΔE_f (raw)	-0.53	eV per atom
volume	253	Å³/cell
space group	Cmc2_1
crystal system	orthorhombic

abc: 3.262 7.586 10.461
angles: 90.00 90.00 102.41
Site moments in Bohr magnetons follow the coordinates.
Sites, in units of the cell vectors:
Sr1 0.868 0.736 0.808  0.00
Sr2 0.121 0.243 0.687  0.00
Sr3 0.132 0.264 0.308  0.00
Sr4 0.879 0.757 0.187  0.00
Cr1 0.560 0.120 0.943  -0.25
Cr2 0.440 0.880 0.443  -0.25
Re1 0.787 0.574 0.522  0.26
Re2 0.213 0.426 0.022  0.26
N1 0.333 0.665 0.002  -0.01
N2 0.678 0.356 0.891  0.01
N3 0.505 0.010 0.806  0.01
N4 0.298 0.596 0.640  0.01
N5 0.951 0.901 0.524  0.02
N6 0.667 0.335 0.502  -0.01
N7 0.322 0.644 0.391  0.01
N8 0.495 0.990 0.306  0.01
N9 0.702 0.404 0.140  0.01
N10 0.049 0.099 0.024  0.02

Here is a relaxed Y8BTe4Se3 crystal from Alexandria via LeMat-Bulk. Energies are from PBE-GGA.

Summary:
ΔE_f (raw)	-1.43	eV per atom
volume	421	Å³/cell
space group	R-3m
crystal system	trigonal

abc: 8.308 8.527 8.308
angles: 119.16 120.00 90.00
Sites, in units of the cell vectors:
Y1 0.221 0.707 0.986
Y2 0.221 0.707 0.441
Y3 0.260 0.280 0.520
Y4 0.766 0.707 0.986
Y5 0.234 0.293 0.014
Y6 0.740 0.720 0.480
Y7 0.779 0.293 0.559
Y8 0.779 0.293 0.014
B1 0.000 0.500 0.000
Te1 0.500 0.000 0.000
Te2 0.500 0.000 0.500
Te3 0.000 0.000 0.000
Te4 0.000 0.000 0.500
Se1 0.500 0.500 0.000
Se2 0.500 0.500 0.500
Se3 0.000 0.500 0.500

Here is a relaxed Sr3Cd6Ga2Ag crystal from Alexandria via LeMat-Bulk. Energies are from PBE-GGA.

Summary:
ΔE_f	-136	meV per atom
volume	331	Å³/cell
space group	P-3m1
crystal system	trigonal

abc: 5.910 5.910 10.928
angles: 90.00 90.00 120.00
Sites, in units of the cell vectors:
Sr1 0.333 0.667 0.576
Sr2 0.667 0.333 0.424
Sr3 0.000 0.000 0.000
Cd1 0.663 0.831 0.268
Cd2 0.169 0.337 0.268
Cd3 0.169 0.831 0.268
Cd4 0.831 0.663 0.732
Cd5 0.337 0.169 0.732
Cd6 0.831 0.169 0.732
Ga1 0.667 0.333 0.109
Ga2 0.333 0.667 0.891
Ag1 0.000 0.000 0.500

Here is a relaxed ThB4Ir4 crystal from Alexandria via LeMat-Bulk. Energies are from PBE-GGA.

Summary:
ΔE_f	-567	meV per atom
volume	239	Å³/cell
offset from the most stable computed form	0	meV/atom
space group	P4_2/n
crystal system	tetragonal

abc: 7.773 7.773 3.960
angles: 90.00 90.00 90.00
Sites, in units of the cell vectors:
Th1 0.000 0.000 0.000
Th2 0.500 0.500 0.500
B1 0.780 0.659 0.108
B2 0.220 0.341 0.108
B3 0.841 0.280 0.608
B4 0.159 0.720 0.608
B5 0.720 0.841 0.392
B6 0.280 0.159 0.392
B7 0.659 0.220 0.892
B8 0.341 0.780 0.892
Ir1 0.393 0.165 0.890
Ir2 0.607 0.835 0.890
Ir3 0.335 0.893 0.390
Ir4 0.665 0.107 0.390
Ir5 0.107 0.335 0.610
Ir6 0.893 0.665 0.610
Ir7 0.165 0.607 0.110
Ir8 0.835 0.393 0.110

no.,Fermi-level density of states (states/eV/f.u.)
1,6.5
2,6.3
3,3.7
4,15.8
5,3.0
6,5.8
7,2.6
8,1.8
9,1.7
10,6.7
11,7.3
12,2.6